# Tl5IBr4

Tl5IBr4 after structural relaxation (PBE-GGA, the Alexandria database).

Formation energy without anion corrections = -78.84 kJ/mol of atoms
Distance to the lowest polymorph of the same formula = 4 meV/atom

Lattice parameters (Å, degrees): 4.837 4.837 34.085 90.00 90.00 90.00
Space group I4/mmm (No. 139)
Inequivalent atoms, fractional coordinates:
Tl  0.000  0.000  0.000 x2
Tl  0.000  0.000  0.200 x4
Tl  0.000  0.000  0.397 x4
I  0.000  0.000  0.500 x2
Br  0.000  0.000  0.101 x4
Br  0.000  0.000  0.298 x4

=====

# TlI2Br6

TlI2Br6 after structural relaxation (PBE-GGA, the Alexandria database).

Formation energy without anion corrections = -18.24 kJ/mol of atoms
Distance to the lowest polymorph of the same formula = 15 meV/atom

Lattice parameters (Å, degrees): 12.738 15.786 9.111 90.00 114.96 90.00
Space group C2/c (No. 15)
Inequivalent atoms, fractional coordinates:
Tl  0.000  0.146  0.250 x4
I  0.158  0.435  0.164 x8
Br  0.105  0.400  0.604 x8
Br  0.108  0.020  0.601 x8
Br  0.200  0.268  0.214 x8

=====

# TlI3Br

TlI3Br after structural relaxation (PBE-GGA, the Alexandria database).

Formation energy without anion corrections = -3.77 kJ/mol of atoms
Distance to the lowest polymorph of the same formula = 229 meV/atom

Lattice parameters (Å, degrees): 6.022 6.022 6.022 90.00 90.00 90.00
Space group Pm-3m (No. 221)
Inequivalent atoms, fractional coordinates:
Tl  0.000  0.000  0.000 x1
I  0.000  0.500  0.500 x3
Br  0.500  0.500  0.500 x1

=====

# TlI3Br

TlI3Br after structural relaxation (PBE-GGA, the Alexandria database).

Formation energy without anion corrections = 15.43 kJ/mol of atoms
Distance to the lowest polymorph of the same formula = 428 meV/atom

Lattice parameters (Å, degrees): 6.067 6.067 6.067 90.00 90.00 90.00
Space group Pm-3m (No. 221)
Inequivalent atoms, fractional coordinates:
Tl  0.000  0.000  0.000 x1
I  0.000  0.000  0.500 x3
Br  0.500  0.500  0.500 x1